Computed, not measured: a relaxed Rb2CuP4H8O16 crystal at the PBE-GGA level of DFT.

a b c (Å): 7.016 7.596 7.959
angles (deg): 85.16 73.47 85.06
Site moments in Bohr magnetons follow the coordinates.
Fractional coordinates of all 31 atoms:
Cu1 0.000 0.500 0.000  0.69
O1 0.200 0.609 0.083  0.06
O2 0.274 0.670 0.370  0.01
O3 0.272 0.917 0.138  0.00
O4 0.800 0.391 0.917  0.06
O5 0.726 0.330 0.630  0.01
O6 0.051 0.218 0.677  0.00
O7 0.753 0.007 0.169  0.01
O8 0.411 0.226 0.594  0.00
O9 0.785 0.682 0.098  0.06
O10 0.215 0.318 0.902  0.06
O11 0.936 0.287 0.275  0.00
O12 0.728 0.083 0.862  0.00
O13 0.247 0.993 0.831  0.01
O14 0.064 0.713 0.725  0.00
O15 0.589 0.774 0.406  0.00
O16 0.949 0.782 0.323  0.00
H1 0.860 0.309 0.397  0.00
H2 0.877 0.185 0.244  0.00
H3 0.461 0.732 0.384  0.00
H4 0.539 0.268 0.616  0.00
H5 0.123 0.815 0.756  0.00
H6 0.140 0.691 0.603  0.00
H7 0.254 0.952 0.012  0.00
H8 0.746 0.048 0.988  0.00
P1 0.236 0.187 0.764  0.00
P2 0.182 0.738 0.224  0.00
P3 0.818 0.262 0.776  0.00
P4 0.764 0.813 0.236  0.00
Rb1 0.374 0.273 0.229  0.00
Rb2 0.626 0.727 0.771  0.00

Values from the calculation:
**E_tot**: -6.00 eV per atom
**Volume**: 404.36 Å³/f.u.
**SG**: P-1, No. 2